# KCeCrO4 | Alexandria via LeMat-Bulk | GGA+U | optimized geometry
data_KCeCrO4
_chemical_formula_sum 'K4 Ce4 Cr4 O16'
_cell_length_a 6.408
_cell_length_b 7.304
_cell_length_c 9.243
_cell_angle_alpha 90.00
_cell_angle_beta 90.00
_cell_angle_gamma 90.00
_space_group_name_H-M_alt 'I m m a'
_space_group_IT_number 74
_space_group_name_Hall '-I 2b 2'
loop_
_atom_site_label
_atom_site_fract_x
_atom_site_fract_y
_atom_site_fract_z
K1 0.000 0.250 0.147
Ce1 0.000 0.000 0.500
Cr1 0.250 0.250 0.750
O1 0.000 0.068 0.739
O2 0.212 0.250 0.526
# **Total magnetic moment**: 12.0 Bohr magnetons per cell
# **Crystal system**: orthorhombic
# **Uncorrected energy**: -204.4 eV per cell